# 1
An optimized crystal structure of Dy2TmMg3Ir2Pt, computed with PBE-GGA.

Structure (POSCAR):
```
Dy2TmMg3Ir2Pt
1.0
-0.3205 -2.9814 -2.6861
7.2574 -0.7630 -0.0190
-4.0526 -3.8159 4.7189
Pt Tm Dy Mg Ir
1 1 2 3 2
Direct
0.0000 0.0023 0.0023 Pt
0.0000 0.4118 0.4118 Tm
0.0000 0.5867 0.0000 Dy
0.0000 0.0000 0.5867 Dy
0.5000 0.7507 0.7507 Mg
0.5000 0.2485 0.0011 Mg
0.5000 0.0011 0.2485 Mg
0.5000 0.3343 0.6645 Ir
0.5000 0.6645 0.3343 Ir
```

# 2
An optimized crystal structure of GdIn, computed with PBE-GGA.

Structure (POSCAR):
```
GdIn
1.0
1.6201 1.7879 4.3008
-2.6627 -0.6483 4.0998
1.5869 -3.0795 3.5096
In Gd
1 1
Direct
0.2500 0.2500 0.2500 In
0.0000 0.0000 0.0000 Gd
```

# 3
An optimized crystal structure of ZrCuBiAu, computed with PBE-GGA.

Structure (POSCAR):
```
ZrCuBiAu
1.0
-0.9169 -4.7743 -0.4775
0.3081 -2.9467 3.8839
-4.0534 -1.9148 1.9409
Au Bi Zr Cu
1 1 1 1
Direct
0.7500 0.7500 0.7500 Au
0.0000 0.0000 0.0000 Bi
0.5000 0.5000 0.5000 Zr
0.2500 0.2500 0.2500 Cu
```

# 4
An optimized crystal structure of ScU2B6C3, computed with PBE-GGA.

Structure (POSCAR):
```
ScU2B6C3
1.0
6.5090 0.0000 0.0000
-3.2545 5.6370 0.0000
0.0000 0.0000 3.3910
C B U Sc
3 6 2 1
Direct
0.5000 0.5000 0.5000 C
0.5000 0.0000 0.5000 C
0.0000 0.5000 0.5000 C
0.7288 0.7288 0.5000 B
0.0000 0.2712 0.5000 B
0.0000 0.7288 0.5000 B
0.2712 0.2712 0.5000 B
0.7288 0.0000 0.5000 B
0.2712 0.0000 0.5000 B
0.6667 0.3334 0.0000 U
0.3334 0.6667 0.0000 U
0.0000 0.0000 0.0000 Sc
```

Number 1: V 186 Å³ per cell, DFT total energy -49.23 eV/f.u.. Number 2: V 85 Å³ per cell, DFT total energy -6.07 eV/f.u.. Number 3: V 82 Å³ per cell, DFT total energy -19.57 eV/f.u.. Number 4: V 124 Å³ per cell, DFT total energy -102.60 eV/f.u..